Here is a geometry-optimized DySn2Pb structure from Alexandria via LeMat-Bulk. Energies are from PBE.

electronic total energy: -3.704 eV per atom
M_tot: 0.000 μB/atom
ΔE_f: 0.3751 eV/atom
space-group type: No. 166

a b c (Å): 5.431 5.431 7.438
angles (deg): 68.59 68.59 60.00
Fractional positions:
Pb  0.000  0.000  0.000
Sn  0.143  0.143  0.571
Sn  0.857  0.857  0.429
Dy  0.500  0.500  0.500